6
Lattice="4.0250 0.0276 -0.0394 -0.0326 4.0730 -0.4600 -0.2552 0.9627 8.5458" Properties=species:S:1:pos:R:3 comment="CeThRu (GGA-PBE, relaxed)" total_energy_ev_per_atom=-7.8907 pbc="T T T"
Ce -0.0012 1.3897 -0.0325
Ce 2.1480 3.4582 -0.1293
Th -0.0660 4.0599 5.3518
Th 1.9574 1.7517 3.0325
Ru 1.9351 2.1000 6.1219
Ru -0.0435 3.7116 2.2622

8
Lattice="-2.1457 -1.9773 -2.2258 3.5360 -3.7735 2.9604 -6.7103 -0.7148 7.1039" Properties=species:S:1:pos:R:3 comment="Ce2ThRu (GGA-PBE, relaxed)" total_energy_ev_per_atom=-7.4069 pbc="T T T"
Ce -1.9287 -3.8620 5.2813
Ce -3.3914 -2.6035 2.5572
Ce -4.5544 -4.1417 8.0610
Ce -0.7657 -2.3239 -0.2225
Th -0.7103 -5.1150 2.1930
Th -4.6098 -1.3506 5.6455
Ru -4.6592 -4.3231 5.2998
Ru -0.6609 -2.1425 2.5387

3
Lattice="4.8700 0.0000 0.0000 2.4350 4.2176 0.0000 2.4350 1.4059 3.9764" Properties=species:S:1:pos:R:3 comment="CeThRu (GGA-PBE, relaxed)" total_energy_ev_per_atom=-7.6794 pbc="T T T"
Ru 2.4350 1.4059 0.9941
Ce 4.8700 2.8117 1.9882
Th 0.0000 0.0000 0.0000

Values for ΔE to the lowest computed polymorph, eV/atom, ordered as above
0.0000 0.0000 0.2113
Values for formation energy from the elements, kcal/mol of atoms, ordered as above
-8.014 -6.135 -3.140